(1)
Compound: Sm2YN3
Source: OQMD
Functional: PBE-GGA
Structure: optimized geometry

Cell: 3.5319 3.5319 8.6453 Å, 90.00 90.00 120.00°
Closest atoms and distances in Å follow each position.
Atoms (fractional coordinates):
N  0.0000  0.0000  0.0000  6 Sm 2.51
N  0.3333  0.6667  0.3387  3 Y 2.47, 3 Sm 2.51
N  0.6667  0.3333  0.6613  3 Y 2.47, 3 Sm 2.51
Sm  0.6667  0.3333  0.1696  6 N 2.51
Sm  0.3333  0.6667  0.8304  6 N 2.51
Y  0.0000  0.0000  0.5000  6 N 2.47

Summary:
total moment = 0.0 μB/cell
SG = No. 164
volume = 93.4 Å³ per cell
raw total energy = -50.1 eV for the cell shown

(2)
Compound: Hf2Sc
Source: OQMD
Functional: PBE-GGA
Structure: optimized geometry

Cell: 4.7663 4.7663 4.7663 Å, 60.00 60.00 60.00°
Closest atoms and distances in Å follow each position.
Atoms (fractional coordinates):
Hf  0.2500  0.2500  0.2500  4 Sc 2.92
Hf  0.7500  0.7500  0.7500  4 Sc 2.92
Sc  0.0000  0.0000  0.0000  8 Hf 2.92

Summary:
total moment = 0.2 μB/cell
SG = No. 225
calculated formation energy = 1.050 eV per atom
volume = 76.6 Å³ per cell
raw total energy = -23.1 eV for the cell shown

(3)
Compound: CuTe5W3
Source: OQMD
Functional: PBE-GGA
Structure: optimized geometry

Cell: 5.7692 5.7692 8.1422 Å, 90.00 90.00 120.00°
Closest atoms and distances in Å follow each position.
Atoms (fractional coordinates):
Cu  0.0000  0.0000  0.0000  14 Te 3.79-4.07
Te  0.6667  0.3333  0.2234  3 W 2.80
Te  0.3333  0.6667  0.2234  3 W 2.80
Te  0.0000  0.0000  0.5000  6 W 2.88
Te  0.6667  0.3333  0.7766  3 W 2.80
Te  0.3333  0.6667  0.7766  3 W 2.80
W  0.5000  0.0000  0.5000  6 Te 2.80-2.88, 4 W 2.88
W  0.0000  0.5000  0.5000  6 Te 2.80-2.88, 4 W 2.88
W  0.5000  0.5000  0.5000  6 Te 2.80-2.88, 4 W 2.88

Summary:
total moment = 0.0 μB/cell
SG = No. 191
volume = 234.7 Å³ per cell
raw total energy = -53.4 eV for the cell shown

(4)
Compound: SrZnAsO
Source: OQMD
Functional: PBE-GGA
Structure: optimized geometry

Cell: 3.6780 7.8866 6.1206 Å, 90.00 90.00 90.00°
Closest atoms and distances in Å follow each position.
Atoms (fractional coordinates):
As  0.0000  0.3355  0.4408  2 Zn 2.56
As  0.0000  0.6645  0.9408  2 Zn 2.56
O  0.5000  0.9073  0.3520  2 Zn 1.95-2.05
O  0.5000  0.0927  0.8520  2 Zn 1.95-2.05
Sr  0.0000  0.7325  0.4426  2 O 2.36
Sr  0.0000  0.2675  0.9426  2 O 2.36
Zn  0.5000  0.8813  0.0185  2 O 1.95-2.05
Zn  0.5000  0.1187  0.5185  2 O 1.95-2.05

Summary:
SG = No. 26
volume = 177.5 Å³ per cell
raw total energy = -34.6 eV for the cell shown

(5)
Compound: CoW4C3
Source: OQMD
Functional: PBE-GGA
Structure: optimized geometry

Cell: 3.0815 3.0815 22.6240 Å, 90.00 90.00 120.00°
Closest atoms and distances in Å follow each position.
Atoms (fractional coordinates):
C  0.0000  0.0000  0.0000  6 W 2.24
C  0.6667  0.3333  0.1151  6 W 2.09-2.17
C  0.6667  0.3333  0.3849  6 W 2.09-2.17
C  0.0000  0.0000  0.5000  6 W 2.24
C  0.3333  0.6667  0.6151  6 W 2.09-2.17
C  0.3333  0.6667  0.8849  6 W 2.09-2.17
Co  0.3333  0.6667  0.2500  6 W 2.64
Co  0.6667  0.3333  0.7500  6 W 2.64
W  0.3333  0.6667  0.0601  6 C 2.17-2.24
W  0.0000  0.0000  0.1636  3 C 2.09
W  0.0000  0.0000  0.3364  3 C 2.09
W  0.3333  0.6667  0.4399  6 C 2.17-2.24
W  0.6667  0.3333  0.5601  6 C 2.17-2.24
W  0.0000  0.0000  0.6636  3 C 2.09
W  0.0000  0.0000  0.8364  3 C 2.09
W  0.6667  0.3333  0.9399  6 C 2.17-2.24

Summary:
total moment = 1.4 μB/cell
SG = No. 194
volume = 186.0 Å³ per cell
raw total energy = -168.8 eV for the cell shown

(6)
Compound: LiCuAgSn
Source: OQMD
Functional: PBE-GGA
Structure: optimized geometry

Cell: 4.5202 4.5202 4.5202 Å, 60.00 60.00 60.00°
Closest atoms and distances in Å follow each position.
Atoms (fractional coordinates):
Ag  0.0000  0.0000  0.0000  4 Cu 2.77, 4 Li 2.77
Cu  0.2500  0.2500  0.2500  4 Ag 2.77, 4 Sn 2.77
Li  0.7500  0.7500  0.7500  4 Sn 2.77, 4 Ag 2.77
Sn  0.5000  0.5000  0.5000  4 Cu 2.77, 4 Li 2.77

Summary:
SG = No. 216
volume = 65.3 Å³ per cell
raw total energy = -13.2 eV for the cell shown

(7)
Compound: MgBi3Pd5
Source: OQMD
Functional: PBE-GGA
Structure: optimized geometry

Cell: 7.1093 7.1093 3.9520 Å, 90.00 90.00 120.00°
Closest atoms and distances in Å follow each position.
Atoms (fractional coordinates):
Bi  0.5799  0.0000  0.5000  6 Pd 2.91-3.12, 1 Mg 2.99
Bi  0.4201  0.4201  0.5000  6 Pd 2.91-3.12, 1 Mg 2.99
Bi  0.0000  0.5799  0.5000  6 Pd 2.91-3.12, 1 Mg 2.99
Mg  0.0000  0.0000  0.5000  6 Pd 2.61
Pd  0.2402  0.0000  0.0000  2 Mg 2.61, 2 Pd 2.76
Pd  0.0000  0.2402  0.0000  2 Mg 2.61, 2 Pd 2.76
Pd  0.6667  0.3333  0.0000  3 Pd 2.76, 6 Bi 2.91
Pd  0.3333  0.6667  0.0000  3 Pd 2.76, 6 Bi 2.91
Pd  0.7598  0.7598  0.0000  2 Mg 2.61, 2 Pd 2.76

Summary:
SG = No. 189
volume = 173.0 Å³ per cell
raw total energy = -42.2 eV for the cell shown

(8)
Compound: Tm4TlCdB2
Source: OQMD
Functional: PBE-GGA
Structure: optimized geometry

Cell: 3.5855 3.5855 16.6265 Å, 90.00 90.00 120.00°
Closest atoms and distances in Å follow each position.
Atoms (fractional coordinates):
B  0.6667  0.3333  0.2508  6 Tm 2.55-2.57
B  0.6667  0.3333  0.7492  6 Tm 2.55-2.57
Cd  0.0000  0.0000  0.5000  6 Tm 3.37, 6 Cd 3.59
Tl  0.3333  0.6667  0.0000  6 Tm 3.36, 6 Tl 3.59
Tm  0.0000  0.0000  0.1588  3 B 2.57
Tm  0.3333  0.6667  0.3400  3 B 2.55
Tm  0.3333  0.6667  0.6600  3 B 2.55
Tm  0.0000  0.0000  0.8412  3 B 2.57

Summary:
total moment = 0.5 μB/cell
SG = No. 187
volume = 185.1 Å³ per cell
raw total energy = -35.2 eV for the cell shown

(9)
Compound: Tb2SmGa3Ni3
Source: OQMD
Functional: PBE-GGA
Structure: optimized geometry

Cell: 3.7947 7.0646 7.0646 Å, 119.94 90.00 90.00°
Closest atoms and distances in Å follow each position.
Atoms (fractional coordinates):
Ga  0.5000  0.7568  0.0035  4 Ni 2.57-2.75
Ga  0.5000  0.2406  0.2406  4 Ni 2.54-2.76
Ga  0.5000  0.0035  0.7568  4 Ni 2.57-2.75
Ni  0.0000  0.0010  0.0010  6 Ga 2.54-2.57
Ni  0.5000  0.6682  0.3307  3 Ga 2.68-2.76, 4 Tb 2.84-2.85, 2 Sm 2.87
Ni  0.5000  0.3307  0.6682  3 Ga 2.68-2.76, 4 Tb 2.84-2.85, 2 Sm 2.87
Sm  0.0000  0.5855  0.5855  5 Ni 2.87-2.94, 6 Ga 3.09-3.20
Tb  0.0000  0.4132  0.0004  5 Ni 2.84-2.91, 6 Ga 3.07-3.17
Tb  0.0000  0.0004  0.4132  5 Ni 2.84-2.91, 6 Ga 3.07-3.17

Summary:
total moment = 0.0 μB/cell
SG = No. 38
volume = 164.1 Å³ per cell
raw total energy = -45.3 eV for the cell shown

(10)
Compound: NaNdHgTe3
Source: OQMD
Functional: PBE-GGA
Structure: optimized geometry

Cell: 11.9078 4.4655 14.9484 Å, 90.00 90.00 90.00°
Closest atoms and distances in Å follow each position.
Atoms (fractional coordinates):
Hg  0.2468  0.2500  0.2211  4 Te 2.84-2.90
Hg  0.7468  0.2500  0.2789  4 Te 2.84-2.90
Hg  0.2533  0.7500  0.7211  4 Te 2.84-2.90
Hg  0.7532  0.7500  0.7789  4 Te 2.84-2.90
Na  0.2439  0.7500  0.0234  6 Te 3.39-3.48, 2 Hg 3.70
Na  0.7439  0.7500  0.4766  6 Te 3.39-3.48, 2 Hg 3.70
Na  0.2561  0.2500  0.5234  6 Te 3.39-3.48, 2 Hg 3.70
Na  0.7561  0.2500  0.9766  6 Te 3.39-3.48, 2 Hg 3.70
Nd  0.4957  0.7500  0.2491  6 Te 3.19-3.30
Nd  0.9957  0.7500  0.2509  6 Te 3.19-3.30
Nd  0.0043  0.2500  0.7491  6 Te 3.19-3.30
Nd  0.5043  0.2500  0.7509  6 Te 3.19-3.30
Te  0.4347  0.2500  0.1047  1 Hg 2.84
Te  0.0570  0.2500  0.1062  1 Hg 2.84
Te  0.7460  0.7500  0.1550  2 Hg 2.90
Te  0.2460  0.7500  0.3450  2 Hg 2.90
Te  0.5570  0.2500  0.3938  1 Hg 2.84
Te  0.9347  0.2500  0.3953  1 Hg 2.84
Te  0.0653  0.7500  0.6047  1 Hg 2.84
Te  0.4430  0.7500  0.6062  1 Hg 2.84
Te  0.7540  0.2500  0.6550  2 Hg 2.90
Te  0.2540  0.2500  0.8450  2 Hg 2.90
Te  0.9430  0.7500  0.8938  1 Hg 2.84
Te  0.5653  0.7500  0.8953  1 Hg 2.84

Summary:
total moment = 0.0 μB/cell
SG = No. 62
volume = 794.9 Å³ per cell
raw total energy = -84.5 eV for the cell shown

(11)
Compound: SmAsIrO
Source: OQMD
Functional: PBE-GGA
Structure: optimized geometry

Cell: 3.4367 7.9587 5.3796 Å, 90.00 90.00 90.00°
Closest atoms and distances in Å follow each position.
Atoms (fractional coordinates):
As  0.0000  0.4230  0.4713  2 Ir 2.40
As  0.0000  0.5770  0.9713  2 Ir 2.40
Ir  0.5000  0.2122  0.4600  1 O 2.09
Ir  0.5000  0.7878  0.9600  1 O 2.09
O  0.5000  0.9604  0.3511  1 Ir 2.09, 2 Sm 2.22
O  0.5000  0.0396  0.8511  1 Ir 2.09, 2 Sm 2.22
Sm  0.0000  0.8042  0.4715  2 O 2.22
Sm  0.0000  0.1958  0.9715  2 O 2.22

Summary:
total moment = 0.0 μB/cell
SG = No. 26
volume = 147.1 Å³ per cell
raw total energy = -55.8 eV for the cell shown

(12)
Compound: NiPb2
Source: OQMD
Functional: PBE-GGA
Structure: optimized geometry

Cell: 6.2008 6.2008 6.2008 Å, 60.00 60.00 60.00°
Closest atoms and distances in Å follow each position.
Atoms (fractional coordinates):
Ni  0.0000  0.0000  0.0000  12 Pb 3.64, 4 Ni 3.80
Ni  0.2500  0.2500  0.2500  12 Pb 3.64, 4 Ni 3.80
Pb  0.6250  0.6250  0.1250  6 Pb 3.10
Pb  0.6250  0.1250  0.6250  6 Pb 3.10
Pb  0.1250  0.6250  0.6250  6 Pb 3.10
Pb  0.6250  0.6250  0.6250  6 Pb 3.10

Summary:
total moment = 0.1 μB/cell
SG = No. 227
volume = 168.6 Å³ per cell
raw total energy = -20.1 eV for the cell shown